(1)
The following is a PBE-GGA calculation of crystalline HfScMn at its relaxed geometry, from the Alexandria database.

abc: 3.181 3.181 11.205
angles: 90.00 90.00 90.00
Fractional coordinates of all 6 atoms:
Hf 0.000 0.000 0.000
Hf 0.500 0.500 0.500
Sc 0.000 0.000 0.734
Sc 0.500 0.500 0.234
Mn 0.000 0.000 0.377
Mn 0.500 0.500 0.877

- Energy of formation: -0.0156 eV/atom
- Calculated total energy: -8.500 eV/atom



(2)
The following is a PBE-GGA calculation of crystalline Hf2ScMn at its relaxed geometry, from the Alexandria database.

abc: 6.679 6.679 6.679
angles: 90.00 90.00 90.00
Fractional coordinates of all 16 atoms:
Hf 0.250 0.250 0.250
Hf 0.250 0.250 0.750
Hf 0.250 0.750 0.250
Hf 0.250 0.750 0.750
Hf 0.750 0.250 0.250
Hf 0.750 0.250 0.750
Hf 0.750 0.750 0.250
Hf 0.750 0.750 0.750
Sc 0.000 0.000 0.000
Sc 0.000 0.500 0.500
Sc 0.500 0.000 0.500
Sc 0.500 0.500 0.000
Mn 0.000 0.000 0.500
Mn 0.000 0.500 0.000
Mn 0.500 0.000 0.000
Mn 0.500 0.500 0.500

- Energy of formation: 0.1757 eV/atom
- Calculated total energy: -8.676 eV/atom



(3)
The following is a PBE-GGA calculation of crystalline Hf2ScMn at its relaxed geometry, from the Alexandria database.

abc: 3.195 3.195 7.699
angles: 90.00 90.00 90.00
Fractional coordinates of all 4 atoms:
Hf 0.000 0.000 0.197
Hf 0.000 0.000 0.803
Sc 0.500 0.500 0.500
Mn 0.500 0.500 0.000

- Energy of formation: 0.0111 eV/atom
- Calculated total energy: -8.841 eV/atom



(4)
The following is a PBE-GGA calculation of crystalline Hf2ScMn2 at its relaxed geometry, from the Alexandria database.

abc: 7.339 7.339 3.443
angles: 90.00 90.00 90.00
Fractional coordinates of all 10 atoms:
Hf 0.164 0.336 0.000
Hf 0.336 0.836 0.000
Hf 0.664 0.164 0.000
Hf 0.836 0.664 0.000
Sc 0.000 0.000 0.500
Sc 0.500 0.500 0.500
Mn 0.127 0.627 0.500
Mn 0.373 0.127 0.500
Mn 0.627 0.873 0.500
Mn 0.873 0.373 0.500

- Energy of formation: -0.0122 eV/atom
- Calculated total energy: -8.928 eV/atom



(5)
The following is a PBE-GGA calculation of crystalline Hf2ScMn2 at its relaxed geometry, from the Alexandria database.

abc: 7.789 7.789 3.034
angles: 90.00 90.00 90.00
Fractional coordinates of all 10 atoms:
Hf 0.145 0.355 0.000
Hf 0.355 0.855 0.000
Hf 0.645 0.145 0.000
Hf 0.855 0.645 0.000
Sc 0.000 0.000 0.000
Sc 0.500 0.500 0.000
Mn 0.146 0.646 0.500
Mn 0.354 0.146 0.500
Mn 0.646 0.854 0.500
Mn 0.854 0.354 0.500

- Energy of formation: 0.1340 eV/atom
- Calculated total energy: -8.782 eV/atom



(6)
The following is a PBE-GGA calculation of crystalline Hf2ScMn at its relaxed geometry, from the Alexandria database.

abc: 7.558 7.558 5.739
angles: 90.00 90.00 90.00
Fractional coordinates of all 16 atoms:
Hf 0.188 0.250 0.125
Hf 0.250 0.688 0.375
Hf 0.250 0.812 0.875
Hf 0.312 0.250 0.625
Hf 0.688 0.750 0.625
Hf 0.750 0.188 0.875
Hf 0.750 0.312 0.375
Hf 0.812 0.750 0.125
Sc 0.000 0.000 0.500
Sc 0.000 0.500 0.750
Sc 0.500 0.000 0.250
Sc 0.500 0.500 0.000
Mn 0.000 0.000 0.000
Mn 0.000 0.500 0.250
Mn 0.500 0.000 0.750
Mn 0.500 0.500 0.500

- Energy of formation: 0.3770 eV/atom
- Calculated total energy: -8.475 eV/atom



(7)
The following is a PBE-GGA calculation of crystalline Hf2ScMn9 at its relaxed geometry, from the Alexandria database.

abc: 8.416 8.416 8.416
angles: 33.55 33.55 33.55
Fractional coordinates of all 12 atoms:
Hf 0.142 0.142 0.142
Hf 0.858 0.858 0.858
Sc 0.000 0.000 0.000
Mn 0.072 0.588 0.588
Mn 0.338 0.338 0.338
Mn 0.412 0.412 0.928
Mn 0.412 0.928 0.412
Mn 0.500 0.500 0.500
Mn 0.588 0.072 0.588
Mn 0.588 0.588 0.072
Mn 0.662 0.662 0.662
Mn 0.928 0.412 0.412

- Energy of formation: -0.1204 eV/atom
- Calculated total energy: -9.184 eV/atom



(8)
The following is a PBE-GGA calculation of crystalline Hf2ScMn at its relaxed geometry, from the Alexandria database.

abc: 3.124 3.124 29.265
angles: 90.00 90.00 120.00
Fractional coordinates of all 12 atoms:
Hf 0.000 0.000 0.103
Hf 0.000 0.000 0.897
Hf 0.333 0.667 0.564
Hf 0.333 0.667 0.769
Hf 0.667 0.333 0.231
Hf 0.667 0.333 0.436
Sc 0.000 0.000 0.000
Sc 0.333 0.667 0.667
Sc 0.667 0.333 0.333
Mn 0.000 0.000 0.500
Mn 0.333 0.667 0.167
Mn 0.667 0.333 0.833

- Energy of formation: 0.3064 eV/atom
- Calculated total energy: -8.546 eV/atom



(9)
The following is a PBE-GGA calculation of crystalline HfScMn at its relaxed geometry, from the Alexandria database.

abc: 5.662 5.662 7.976
angles: 90.00 90.00 117.03
Fractional coordinates of all 12 atoms:
Hf 0.144 0.856 0.911
Hf 0.356 0.644 0.411
Hf 0.644 0.356 0.589
Hf 0.856 0.144 0.089
Sc 0.146 0.354 0.750
Sc 0.354 0.146 0.250
Sc 0.646 0.854 0.750
Sc 0.854 0.646 0.250
Mn 0.116 0.884 0.574
Mn 0.384 0.616 0.074
Mn 0.616 0.384 0.926
Mn 0.884 0.116 0.426

- Energy of formation: 0.0814 eV/atom
- Calculated total energy: -8.403 eV/atom



(10)
The following is a PBE-GGA calculation of crystalline HfSc3Mn at its relaxed geometry, from the Alexandria database.

abc: 4.822 4.822 4.822
angles: 90.00 90.00 90.00
Fractional coordinates of all 5 atoms:
Hf 0.000 0.000 0.000
Sc 0.000 0.500 0.500
Sc 0.500 0.000 0.500
Sc 0.500 0.500 0.000
Mn 0.500 0.500 0.500

- Energy of formation: 0.3854 eV/atom
- Calculated total energy: -7.238 eV/atom



(11)
The following is a PBE-GGA calculation of crystalline Hf2ScTaMn at its relaxed geometry, from the Alexandria database.

abc: 4.883 4.883 4.607
angles: 90.00 90.00 90.00
Fractional coordinates of all 5 atoms:
Hf 0.000 0.500 0.000
Hf 0.500 0.000 0.000
Sc 0.000 0.000 0.000
Ta 0.000 0.000 0.500
Mn 0.500 0.500 0.500

- Energy of formation: 1.9791 eV/atom
- Calculated total energy: -7.473 eV/atom



(12)
The following is a PBE-GGA calculation of crystalline HfMn2Se6 at its relaxed geometry, from the Alexandria database.

abc: 7.837 7.837 8.875
angles: 111.93 111.93 26.69
Fractional coordinates of all 9 atoms:
Hf 0.000 0.000 0.000
Mn 0.333 0.333 0.669
Mn 0.667 0.667 0.331
Se 0.160 0.160 0.519
Se 0.189 0.189 0.152
Se 0.488 0.488 0.211
Se 0.512 0.512 0.789
Se 0.811 0.811 0.848
Se 0.840 0.840 0.481

- Raw formation energy: -742 meV per atom
- Calculated total energy: -6.208 eV/atom



(13)
The following is a PBE-GGA calculation of crystalline HfMnSe3 at its relaxed geometry, from the Alexandria database.

abc: 4.659 4.659 4.659
angles: 90.00 90.00 90.00
Fractional coordinates of all 5 atoms:
Hf 0.000 0.000 0.000
Mn 0.500 0.500 0.500
Se 0.000 0.500 0.500
Se 0.500 0.000 0.500
Se 0.500 0.500 0.000

- Raw formation energy: 220 meV per atom
- Calculated total energy: -5.695 eV/atom



(14)
The following is a PBE-GGA calculation of crystalline HfMnSe2 at its relaxed geometry, from the Alexandria database.

abc: 3.634 3.634 24.875
angles: 90.00 90.00 120.00
Fractional coordinates of all 12 atoms:
Hf 0.000 0.000 0.000
Hf 0.333 0.667 0.667
Hf 0.667 0.333 0.333
Mn 0.000 0.000 0.500
Mn 0.333 0.667 0.167
Mn 0.667 0.333 0.833
Se 0.000 0.000 0.400
Se 0.000 0.000 0.600
Se 0.333 0.667 0.067
Se 0.333 0.667 0.266
Se 0.667 0.333 0.734
Se 0.667 0.333 0.933

- Raw formation energy: -561 meV per atom
- Calculated total energy: -7.084 eV/atom



(15)
The following is a PBE-GGA calculation of crystalline Hf2MnSe at its relaxed geometry, from the Alexandria database.

abc: 5.711 5.711 12.092
angles: 90.00 90.00 90.00
Fractional coordinates of all 16 atoms:
Hf 0.198 0.250 0.125
Hf 0.250 0.698 0.375
Hf 0.250 0.802 0.875
Hf 0.302 0.250 0.625
Hf 0.698 0.750 0.625
Hf 0.750 0.198 0.875
Hf 0.750 0.302 0.375
Hf 0.802 0.750 0.125
Mn 0.000 0.000 0.000
Mn 0.000 0.500 0.250
Mn 0.500 0.000 0.750
Mn 0.500 0.500 0.500
Se 0.000 0.000 0.500
Se 0.000 0.500 0.750
Se 0.500 0.000 0.250
Se 0.500 0.500 0.000

- Raw formation energy: 461 meV per atom
- Calculated total energy: -7.680 eV/atom



(16)
The following is a PBE-GGA calculation of crystalline HfMnSe2 at its relaxed geometry, from the Alexandria database.

abc: 3.199 3.199 25.509
angles: 90.00 90.00 120.00
Fractional coordinates of all 12 atoms:
Hf 0.000 0.000 0.000
Hf 0.333 0.667 0.667
Hf 0.667 0.333 0.333
Mn 0.000 0.000 0.500
Mn 0.333 0.667 0.167
Mn 0.667 0.333 0.833
Se 0.000 0.000 0.106
Se 0.000 0.000 0.894
Se 0.333 0.667 0.561
Se 0.333 0.667 0.772
Se 0.667 0.333 0.228
Se 0.667 0.333 0.439

- Raw formation energy: -80 meV per atom
- Calculated total energy: -6.603 eV/atom



(17)
The following is a PBE-GGA calculation of crystalline HfMn2Se2 at its relaxed geometry, from the Alexandria database.

abc: 7.123 7.123 3.356
angles: 90.00 90.00 90.00
Fractional coordinates of all 10 atoms:
Hf 0.000 0.000 0.000
Hf 0.500 0.500 0.000
Mn 0.126 0.374 0.000
Mn 0.374 0.874 0.000
Mn 0.626 0.126 0.000
Mn 0.874 0.626 0.000
Se 0.178 0.678 0.500
Se 0.322 0.178 0.500
Se 0.678 0.822 0.500
Se 0.822 0.322 0.500

- Raw formation energy: -66 meV per atom
- Calculated total energy: -7.118 eV/atom



(18)
The following is a PBE-GGA calculation of crystalline HfMnSe3 at its relaxed geometry, from the Alexandria database.

abc: 5.135 5.135 5.135
angles: 90.00 90.00 90.00
Fractional coordinates of all 5 atoms:
Hf 0.000 0.000 0.000
Mn 0.500 0.500 0.500
Se 0.000 0.000 0.500
Se 0.000 0.500 0.000
Se 0.500 0.000 0.000

- Raw formation energy: 420 meV per atom
- Calculated total energy: -5.495 eV/atom



(19)
The following is a PBE-GGA calculation of crystalline Hf3MnSe at its relaxed geometry, from the Alexandria database.

abc: 4.795 4.795 4.795
angles: 90.00 90.00 90.00
Fractional coordinates of all 5 atoms:
Hf 0.000 0.000 0.500
Hf 0.000 0.500 0.000
Hf 0.500 0.000 0.000
Mn 0.000 0.000 0.000
Se 0.500 0.500 0.500

- Raw formation energy: 240 meV per atom
- Calculated total energy: -8.263 eV/atom



(20)
The following is a PBE-GGA calculation of crystalline HfMnSe3 at its relaxed geometry, from the Alexandria database.

abc: 3.887 11.615 11.615
angles: 147.22 90.00 90.00
Fractional coordinates of all 10 atoms:
Hf 0.250 0.169 0.831
Hf 0.750 0.831 0.169
Mn 0.250 0.268 0.551
Mn 0.750 0.551 0.268
Se 0.250 0.346 0.178
Se 0.250 0.664 0.904
Se 0.250 0.953 0.425
Se 0.750 0.178 0.346
Se 0.750 0.425 0.953
Se 0.750 0.904 0.664

- Raw formation energy: -898 meV per atom
- Calculated total energy: -6.813 eV/atom